1.
Here is an optimized crystal structure of HoCuO2 from Alexandria via LeMat-Bulk. Energies are from PBEsol.

Calculated values
**E**: -7.35 eV/atom
**Raw formation energy**: -2.4081 eV per atom

a = 3.4814 Å, b = 3.4814 Å, c = 11.2706 Å
α = 90.00°, β = 90.00°, γ = 120.00°
Sites, in units of the cell vectors:
1 Ho 0.0000 0.0000 0.0000
2 Ho 0.0000 0.0000 0.5000
3 Cu 0.3333 0.6667 0.2500
4 Cu 0.6667 0.3333 0.7500
5 O 0.3333 0.6667 0.0900
6 O 0.3333 0.6667 0.4100
7 O 0.6667 0.3333 0.5900
8 O 0.6667 0.3333 0.9100

2.
Here is an optimized crystal structure of Ho2CuO4 from Alexandria via LeMat-Bulk. Energies are from PBEsol.

Calculated values
**Polymorph energy (0 for the lowest one)**: 0.0000 eV per atom
**E**: -7.81 eV/atom
**Raw formation energy**: -2.7810 eV per atom

a = 6.3997 Å, b = 6.3997 Å, c = 5.3909 Å
α = 90.00°, β = 90.00°, γ = 49.88°
Sites, in units of the cell vectors:
1 Ho 0.1535 0.1535 0.0000
2 Ho 0.3465 0.3465 0.5000
3 Ho 0.6535 0.6535 0.5000
4 Ho 0.8465 0.8465 0.0000
5 Cu 0.0000 0.0000 0.5000
6 Cu 0.5000 0.5000 0.0000
7 O 0.0088 0.4912 0.7500
8 O 0.2057 0.7943 0.7944
9 O 0.2943 0.7057 0.2944
10 O 0.4912 0.0088 0.2500
11 O 0.5088 0.9912 0.7500
12 O 0.7057 0.2943 0.7056
13 O 0.7943 0.2057 0.2056
14 O 0.9912 0.5088 0.2500

3.
Here is an optimized crystal structure of Ho2CuO4 from Alexandria via LeMat-Bulk. Energies are from PBEsol.

Calculated values
**Polymorph energy (0 for the lowest one)**: 0.0113 eV per atom
**E**: -7.80 eV/atom
**Raw formation energy**: -2.7697 eV per atom

a = 3.8051 Å, b = 3.8051 Å, c = 11.4551 Å
α = 90.00°, β = 90.00°, γ = 90.00°
Sites, in units of the cell vectors:
1 Ho 0.0000 0.0000 0.1512
2 Ho 0.0000 0.0000 0.8488
3 Ho 0.5000 0.5000 0.3488
4 Ho 0.5000 0.5000 0.6512
5 Cu 0.0000 0.0000 0.5000
6 Cu 0.5000 0.5000 0.0000
7 O 0.0000 0.5000 0.0000
8 O 0.0000 0.5000 0.2500
9 O 0.0000 0.5000 0.5000
10 O 0.0000 0.5000 0.7500
11 O 0.5000 0.0000 0.0000
12 O 0.5000 0.0000 0.2500
13 O 0.5000 0.0000 0.5000
14 O 0.5000 0.0000 0.7500

4.
Here is an optimized crystal structure of Sr2HoCu3Pb2O8 from Alexandria via LeMat-Bulk. Energies are from PBEsol.

Calculated values
**Polymorph energy (0 for the lowest one)**: 0.0000 eV per atom
**E**: -6.24 eV/atom
**Raw formation energy**: -1.7596 eV per atom

a = 15.6129 Å, b = 5.3691 Å, c = 5.3333 Å
α = 90.00°, β = 90.92°, γ = 90.00°
Sites, in units of the cell vectors:
1 Sr 0.2201 0.0004 0.0105
2 Sr 0.2201 0.4996 0.5105
3 Sr 0.7799 0.9996 0.9895
4 Sr 0.7799 0.5004 0.4895
5 Ho 0.0000 0.0000 0.0000
6 Ho 0.0000 0.5000 0.5000
7 Cu 0.1037 0.9996 0.5050
8 Cu 0.1037 0.5004 0.0050
9 Cu 0.5000 0.0000 0.0000
10 Cu 0.5000 0.5000 0.5000
11 Cu 0.8963 0.0004 0.4950
12 Cu 0.8963 0.4996 0.9950
13 Pb 0.3892 0.0037 0.5047
14 Pb 0.3892 0.4963 0.0047
15 Pb 0.6108 0.5037 0.9953
16 Pb 0.6108 0.9963 0.4953
17 O 0.0905 0.7500 0.2543
18 O 0.0905 0.7500 0.7543
19 O 0.0922 0.2500 0.2544
20 O 0.0922 0.2500 0.7544
21 O 0.2501 0.5104 0.0130
22 O 0.2501 0.9896 0.5130
23 O 0.3852 0.0602 0.0529
24 O 0.3852 0.4398 0.5529
25 O 0.6148 0.5602 0.4471
26 O 0.6148 0.9398 0.9471
27 O 0.7499 0.0104 0.4870
28 O 0.7499 0.4896 0.9870
29 O 0.9078 0.7500 0.2456
30 O 0.9078 0.7500 0.7456
31 O 0.9095 0.2500 0.2457
32 O 0.9095 0.2500 0.7457

5.
Here is an optimized crystal structure of Sr2HoCu3Pb2O8 from Alexandria via LeMat-Bulk. Energies are from PBEsol.

Calculated values
**Polymorph energy (0 for the lowest one)**: 0.0054 eV per atom
**E**: -6.23 eV/atom
**Raw formation energy**: -1.7542 eV per atom

a = 3.7727 Å, b = 3.7727 Å, c = 15.6581 Å
α = 90.00°, β = 90.00°, γ = 90.00°
Sites, in units of the cell vectors:
1 Sr 0.0000 0.0000 0.2196
2 Sr 0.0000 0.0000 0.7804
3 Ho 0.0000 0.0000 0.0000
4 Cu 0.0000 0.0000 0.5000
5 Cu 0.5000 0.5000 0.1028
6 Cu 0.5000 0.5000 0.8972
7 Pb 0.5000 0.5000 0.3877
8 Pb 0.5000 0.5000 0.6123
9 O 0.0000 0.0000 0.3827
10 O 0.0000 0.0000 0.6173
11 O 0.0000 0.5000 0.0910
12 O 0.0000 0.5000 0.9090
13 O 0.5000 0.0000 0.0910
14 O 0.5000 0.0000 0.9090
15 O 0.5000 0.5000 0.2494
16 O 0.5000 0.5000 0.7506

6.
Here is an optimized crystal structure of SrHo2CuO5 from Alexandria via LeMat-Bulk. Energies are from PBEsol.

Calculated values
**E**: -7.48 eV/atom
**Raw formation energy**: -2.7758 eV per atom

a = 11.8849 Å, b = 5.5407 Å, c = 7.0130 Å
α = 90.00°, β = 90.00°, γ = 90.00°
Sites, in units of the cell vectors:
1 Sr 0.0888 0.2500 0.0792
2 Sr 0.4112 0.7500 0.5792
3 Sr 0.5888 0.2500 0.4208
4 Sr 0.9112 0.7500 0.9208
5 Ho 0.0738 0.7500 0.3960
6 Ho 0.2126 0.2500 0.6148
7 Ho 0.2874 0.7500 0.1148
8 Ho 0.4262 0.2500 0.8960
9 Ho 0.5738 0.7500 0.1040
10 Ho 0.7126 0.2500 0.8852
11 Ho 0.7874 0.7500 0.3852
12 Ho 0.9262 0.2500 0.6040
13 Cu 0.1623 0.7500 0.7820
14 Cu 0.3377 0.2500 0.2820
15 Cu 0.6623 0.7500 0.7180
16 Cu 0.8377 0.2500 0.2180
17 O 0.0659 0.5070 0.6667
18 O 0.0659 0.9930 0.6667
19 O 0.0954 0.7500 0.0747
20 O 0.2241 0.0049 0.3514
21 O 0.2241 0.4951 0.3514
22 O 0.2759 0.5049 0.8514
23 O 0.2759 0.9951 0.8514
24 O 0.4046 0.2500 0.5747
25 O 0.4341 0.0070 0.1667
26 O 0.4341 0.4930 0.1667
27 O 0.5659 0.5070 0.8333
28 O 0.5659 0.9930 0.8333
29 O 0.5954 0.7500 0.4253
30 O 0.7241 0.0049 0.1486
31 O 0.7241 0.4951 0.1486
32 O 0.7759 0.5049 0.6486
33 O 0.7759 0.9951 0.6486
34 O 0.9046 0.2500 0.9253
35 O 0.9341 0.0070 0.3333
36 O 0.9341 0.4930 0.3333